Material: La2Nd3Sm6Cd
Method: DFT, PBE
State: optimized geometry

Density in g/cm3: 7.15
Total magnetic moment in μB/cell: 0.0
SG: C2/m
Energy of formation from the pure elements in eV per atom: -0.013

Cell lengths 6.261, 6.261, 12.009 Å; angles 95.08, 95.08, 120.07 degrees
Fractional coordinates of all 12 atoms:
La 0.333 0.667 0.000
La 0.667 0.333 0.000
Sm 0.918 0.591 0.752
Sm 0.409 0.082 0.248
Sm 0.754 0.754 0.250
Sm 0.591 0.918 0.752
Sm 0.246 0.246 0.750
Sm 0.082 0.409 0.248
Nd 0.500 0.500 0.500
Nd 0.167 0.833 0.500
Nd 0.833 0.167 0.500
Cd 0.000 0.000 0.000